ZrNb2Tc2 | PBE | relaxed

Values from the calculation:
As for the crystal system: tetragonal. Its formation enthalpy at 0 K is 0.089 eV per atom. The density of states at the Fermi level comes out at 4.8 states/eV/f.u.

a b c (Å): 7.757 7.757 2.985
angles (deg): 90.00 90.00 90.00
Space group P4/mbm (No. 127)
Inequivalent atoms, fractional coordinates:
Zr (0.000, 0.000, 0.000)
Nb (0.144, 0.356, 0.000)
Tc (0.155, 0.655, 0.500)